[1]
Computed, not measured: crystalline InNiCl2 at its relaxed geometry at the PBE-GGA level of DFT.

The structure in CIF format:
```
data_InNiCl2
_chemical_formula_sum 'In1 Ni1 Cl2'
_space_group_name_H-M_alt 'P 1'
_space_group_IT_number 1
_space_group_name_Hall 'P 1'
_cell_length_a 5.904
_cell_length_b 5.904
_cell_length_c 5.904
_cell_angle_alpha 147.20
_cell_angle_beta 105.78
_cell_angle_gamma 83.53
loop_
_atom_site_label
_atom_site_type_symbol
_atom_site_fract_x
_atom_site_fract_y
_atom_site_fract_z
_atom_site_occupancy
Cl1 Cl 0.704 0.204 0.500 1
Cl2 Cl 0.075 0.075 0.000 1
In1 In 0.478 0.478 0.000 1
Ni1 Ni 0.243 0.743 0.500 1
```

Output
Energy   -3.372 eV per atom
Magnetization   0.97 μB per formula unit
Crystal system   orthorhombic
Energy relative to the elements, uncorrected   -0.319 eV/atom
Space group   Imm2, No. 44
E above lowest polymorph   154 meV/atom

---

[2]
Computed, not measured: crystalline CsSbIrI2 at its relaxed geometry at the PBE-GGA level of DFT.

The structure in CIF format:
```
data_CsSbIrI2
_chemical_formula_sum 'Cs1 Sb1 Ir1 I2'
_space_group_name_H-M_alt 'P 1'
_space_group_IT_number 1
_space_group_name_Hall 'P 1'
_cell_length_a 6.014
_cell_length_b 6.014
_cell_length_c 4.969
_cell_angle_alpha 90.00
_cell_angle_beta 90.00
_cell_angle_gamma 90.00
loop_
_atom_site_label
_atom_site_type_symbol
_atom_site_fract_x
_atom_site_fract_y
_atom_site_fract_z
_atom_site_occupancy
Cs1 Cs 0.500 0.500 0.500 1
I1 I 0.500 0.000 0.000 1
I2 I 0.000 0.500 0.000 1
Sb1 Sb 0.000 0.000 0.500 1
Ir1 Ir 0.000 0.000 0.000 1
```

Output
Energy   -3.628 eV per atom
Magnetization   0.00 μB per formula unit
Crystal system   tetragonal
Energy relative to the elements, uncorrected   -0.240 eV/atom
Space group   P4/mmm, No. 123

---

[3]
Computed, not measured: crystalline Na4AgPb2 at its relaxed geometry at the PBE-GGA level of DFT.

The structure in CIF format:
```
data_Na4AgPb2
_chemical_formula_sum 'Na4 Ag1 Pb2'
_space_group_name_H-M_alt 'P 1'
_space_group_IT_number 1
_space_group_name_Hall 'P 1'
_cell_length_a 5.640
_cell_length_b 5.640
_cell_length_c 8.674
_cell_angle_alpha 71.03
_cell_angle_beta 71.03
_cell_angle_gamma 90.00
loop_
_atom_site_label
_atom_site_type_symbol
_atom_site_fract_x
_atom_site_fract_y
_atom_site_fract_z
_atom_site_occupancy
Na1 Na 0.000 0.500 0.000 1
Na2 Na 0.810 0.810 0.380 1
Na3 Na 0.500 0.000 0.000 1
Na4 Na 0.190 0.190 0.620 1
Ag1 Ag 0.000 0.000 0.000 1
Pb1 Pb 0.601 0.601 0.798 1
Pb2 Pb 0.399 0.399 0.202 1
```

Output
Energy   -2.114 eV per atom
Magnetization   0.00 μB per formula unit
Crystal system   tetragonal
Space group   I4/mmm, No. 139

---

[4]
Computed, not measured: crystalline SmPtPb at its relaxed geometry at the PBE-GGA level of DFT.

The structure in CIF format:
```
data_SmPtPb
_chemical_formula_sum 'Sm2 Pt2 Pb2'
_space_group_name_H-M_alt 'P 1'
_space_group_IT_number 1
_space_group_name_Hall 'P 1'
_cell_length_a 3.674
_cell_length_b 4.945
_cell_length_c 8.541
_cell_angle_alpha 90.00
_cell_angle_beta 102.42
_cell_angle_gamma 90.00
loop_
_atom_site_label
_atom_site_type_symbol
_atom_site_fract_x
_atom_site_fract_y
_atom_site_fract_z
_atom_site_occupancy
Pt1 Pt 0.445 0.750 0.891 1
Pt2 Pt 0.555 0.250 0.109 1
Pb1 Pb 0.785 0.750 0.570 1
Pb2 Pb 0.215 0.250 0.430 1
Sm1 Sm 0.082 0.750 0.164 1
Sm2 Sm 0.918 0.250 0.836 1
```

Output
Energy   -5.549 eV per atom
Magnetization   0.00 μB per formula unit
Crystal system   orthorhombic
Space group   Cmcm, No. 63